A plane-wave DFT calculation with GGA-PBE was carried out for CdIn2Tc after structural relaxation.

E_tot	-3.885	eV per atom
total moment	1.28	μB per formula unit
crystal system	tetragonal

a b c (Å): 3.0466 3.0466 9.1485
angles (deg): 90.00 90.00 90.00
Last column: nearest neighbours and their distance in Å.
Space group P4/mmm (No. 123)
One atom of each set of equivalent atoms:
Cd: 0.0000 0.0000 0.0000 x1  4 Cd 3.05
In: 0.5000 0.5000 0.2895 x2  4 Tc 2.89, 4 In 3.05
Tc: 0.0000 0.0000 0.5000 x1  8 In 2.89, 4 Tc 3.05

---

A plane-wave DFT calculation with GGA-PBE was carried out for KLi2MnSe after structural relaxation.

uncorrected formation energy	-0.090	eV per atom
total moment	3.86	μB per formula unit
crystal system	tetragonal

a b c (Å): 5.1298 5.1298 4.9275
angles (deg): 90.00 90.00 90.00
Last column: nearest neighbours and their distance in Å.
Space group P4/mmm (No. 123)
One atom of each set of equivalent atoms:
K: 0.0000 0.0000 0.0000 x1  8 Li 3.56, 4 Mn 3.63
Li: 0.0000 0.5000 0.5000 x2  2 Se 2.56
Mn: 0.5000 0.5000 0.0000 x1  2 Se 2.46
Se: 0.5000 0.5000 0.5000 x1  2 Mn 2.46, 4 Li 2.56

---

A plane-wave DFT calculation with GGA-PBE was carried out for GaAgSn after structural relaxation.

E_tot	-3.253	eV per atom
total moment	0.00	μB per formula unit
crystal system	monoclinic

a b c (Å): 3.1118 6.3956 6.6277
angles (deg): 90.00 92.22 90.00
Last column: nearest neighbours and their distance in Å.
Space group P2_1 (No. 4)
One atom of each set of equivalent atoms:
Ga: 0.0180 0.0000 0.2534 x2  4 Ag 2.73-2.91, 2 Sn 2.82-2.89
Ag: 0.4936 0.2802 0.0455 x2  4 Ga 2.73-2.91, 2 Sn 2.96-3.02
Sn: 0.0007 0.0546 0.6752 x2  2 Ga 2.82-2.89, 2 Ag 2.96-3.02, 2 Sn 3.11

---

A plane-wave DFT calculation with GGA-PBE was carried out for Li2PuMg after structural relaxation.

excess energy over the best structure of this formula in the dataset	0	meV/atom
total moment	5.09	μB per formula unit
crystal system	trigonal

a b c (Å): 2.9925 2.9925 33.7444
angles (deg): 90.00 90.00 120.00
Last column: nearest neighbours and their distance in Å.
Space group R-3m (No. 166, hexagonal axes)
One atom of each set of equivalent atoms:
Li: 0.0000 0.0000 0.0899 x6  6 Li 2.99, 1 Pu 3.03, 3 Mg 3.11
Pu: 0.0000 0.0000 0.0000 x3  6 Pu 2.99, 2 Li 3.03
Mg: 0.0000 0.0000 0.5000 x3  6 Mg 2.99, 6 Li 3.11

---

A plane-wave DFT calculation with GGA-PBE was carried out for KLiTe2Se4 after structural relaxation.

uncorrected formation energy	-0.455	eV per atom
total moment	0.00	μB per formula unit
crystal system	tetragonal

a b c (Å): 7.1962 7.1962 9.5866
angles (deg): 90.00 90.00 90.00
Last column: nearest neighbours and their distance in Å.
Space group I-42m (No. 121)
One atom of each set of equivalent atoms:
K: 0.0000 0.0000 0.0000 x2  4 Se 3.23
Li: 0.0000 0.0000 0.5000 x2  4 Se 2.60
Te: 0.0000 0.5000 0.2500 x4  4 Se 2.75
Se: 0.2148 0.2148 0.3528 x8  1 Li 2.60, 2 Te 2.75

---

A plane-wave DFT calculation with GGA-PBE was carried out for Be2FeSb after structural relaxation.

uncorrected formation energy	0.251	eV per atom
total moment	1.10	μB per formula unit
crystal system	tetragonal

a b c (Å): 3.1638 3.1638 5.0460
angles (deg): 90.00 90.00 90.00
Last column: nearest neighbours and their distance in Å.
Space group P4/mmm (No. 123)
One atom of each set of equivalent atoms:
Be: 0.0000 0.0000 0.2014 x2  1 Be 2.03
Fe: 0.5000 0.5000 0.0000 x1  8 Be 2.46, 2 Sb 2.52
Sb: 0.5000 0.5000 0.5000 x1  2 Fe 2.52, 8 Be 2.70

---

Which of these has the highest total moment?
Li2PuMg